# 1
Here is an optimized crystal structure of LaAlAu2 from the Alexandria database. Energies are from PBE.

```
data_LaAlAu2
_cell_length_a 4.4776
_cell_length_b 4.4776
_cell_length_c 6.0088
_cell_angle_alpha 68.12
_cell_angle_beta 68.12
_cell_angle_gamma 59.94
_space_group_name_H-M_alt 'P 1'
_space_group_IT_number 1
_space_group_name_Hall 'P 1'
loop_
_atom_site_label
_atom_site_fract_x
_atom_site_fract_y
_atom_site_fract_z
Au1 0.0419 0.0419 0.8744
Au2 0.2812 0.2812 0.1565
Al1 0.6866 0.6866 0.9406
La1 0.4903 0.4903 0.5285
```

Properties
The calculation puts the energy of formation from the pure elements at -0.61 eV per atom. The calculation puts the magnetization at 0.00 μB/f.u. As for the space-group type: R3m.

---

# 2
Here is an optimized crystal structure of LaAl2Au from the Alexandria database. Energies are from PBE.

```
data_LaAl2Au
_cell_length_a 4.3224
_cell_length_b 3.4265
_cell_length_c 6.3803
_cell_angle_alpha 74.58
_cell_angle_beta 90.00
_cell_angle_gamma 90.00
_space_group_name_H-M_alt 'P 1'
_space_group_IT_number 1
_space_group_name_Hall 'P 1'
loop_
_atom_site_label
_atom_site_fract_x
_atom_site_fract_y
_atom_site_fract_z
Au1 0.0000 0.3287 0.4638
Al1 0.0000 0.0206 0.0846
Al2 0.5000 0.4479 0.2308
La1 0.5000 0.7028 0.7208
```

Properties
The calculation puts the energy of formation from the pure elements at -0.38 eV per atom. The calculation puts the magnetization at 0.00 μB/f.u. As for the space-group type: Pm.

---

# 3
Here is an optimized crystal structure of La2Al3Au5 from the Alexandria database. Energies are from PBE.

```
data_La2Al3Au5
_cell_length_a 4.3314
_cell_length_b 4.3314
_cell_length_c 11.5571
_cell_angle_alpha 90.00
_cell_angle_beta 90.00
_cell_angle_gamma 90.00
_space_group_name_H-M_alt 'P 1'
_space_group_IT_number 1
_space_group_name_Hall 'P 1'
loop_
_atom_site_label
_atom_site_fract_x
_atom_site_fract_y
_atom_site_fract_z
La1 0.5000 0.0000 0.2481
La2 0.0000 0.5000 0.7519
Al1 0.5000 0.0000 0.6279
Al2 0.0000 0.5000 0.3721
Al3 0.0000 0.0000 0.5000
Au1 0.5000 0.5000 0.0000
Au2 0.0000 0.0000 0.0000
Au3 0.5000 0.0000 0.8411
Au4 0.0000 0.5000 0.1589
Au5 0.5000 0.5000 0.5000
```

Properties
The calculation puts the energy of formation from the pure elements at -0.60 eV per atom. The calculation puts the magnetization at 0.00 μB/f.u. The value obtained for the energy above the most stable polymorph in this dataset is 119.9 meV/atom. As for the space-group type: P-4m2.

---

# 4
Here is an optimized crystal structure of La2Al3Au from the Alexandria database. Energies are from PBE.

```
data_La2Al3Au
_cell_length_a 6.1046
_cell_length_b 6.1046
_cell_length_c 9.2398
_cell_angle_alpha 112.15
_cell_angle_beta 112.15
_cell_angle_gamma 81.88
_space_group_name_H-M_alt 'P 1'
_space_group_IT_number 1
_space_group_name_Hall 'P 1'
loop_
_atom_site_label
_atom_site_fract_x
_atom_site_fract_y
_atom_site_fract_z
La1 0.7500 0.2500 0.5000
La2 0.7402 0.2598 0.0000
La3 0.2500 0.7500 0.5000
La4 0.2598 0.7402 0.0000
Al1 0.8353 0.8353 0.1669
Al2 0.6684 0.6684 0.8331
Al3 0.1647 0.1647 0.8331
Al4 0.3316 0.3316 0.1669
Al5 0.1649 0.1649 0.3298
Al6 0.8351 0.8351 0.6702
Au1 0.6689 0.6689 0.3378
Au2 0.3311 0.3311 0.6622
```

Properties
The calculation puts the energy of formation from the pure elements at -0.59 eV per atom. The calculation puts the magnetization at 0.00 μB/f.u. As for the space-group type: Fmmm.

---

# 5
Here is an optimized crystal structure of LaAl2Au from the Alexandria database. Energies are from PBE.

```
data_LaAl2Au
_cell_length_a 4.6610
_cell_length_b 5.9037
_cell_length_c 6.9250
_cell_angle_alpha 90.00
_cell_angle_beta 90.00
_cell_angle_gamma 113.25
_space_group_name_H-M_alt 'P 1'
_space_group_IT_number 1
_space_group_name_Hall 'P 1'
loop_
_atom_site_label
_atom_site_fract_x
_atom_site_fract_y
_atom_site_fract_z
La1 0.7559 0.5118 0.5000
La2 0.5698 0.1396 0.0000
Al1 0.0484 0.0968 0.6930
Al2 0.0484 0.0968 0.3070
Al3 0.8693 0.7386 0.0000
Al4 0.4616 0.9233 0.5000
Au1 0.2876 0.5753 0.7979
Au2 0.2876 0.5753 0.2021
```

Properties
The calculation puts the energy of formation from the pure elements at -0.57 eV per atom. The calculation puts the magnetization at 0.00 μB/f.u. As for the space-group type: Amm2.

---

# 6
Here is an optimized crystal structure of La3Al7Au4 from the Alexandria database. Energies are from PBE.

```
data_La3Al7Au4
_cell_length_a 4.4723
_cell_length_b 8.5250
_cell_length_c 8.6334
_cell_angle_alpha 70.18
_cell_angle_beta 74.99
_cell_angle_gamma 74.79
_space_group_name_H-M_alt 'P 1'
_space_group_IT_number 1
_space_group_name_Hall 'P 1'
loop_
_atom_site_label
_atom_site_fract_x
_atom_site_fract_y
_atom_site_fract_z
La1 0.3118 0.1913 0.1851
La2 0.6882 0.8087 0.8149
La3 0.0000 0.5000 0.5000
Al1 0.3264 0.8160 0.5313
Al2 0.5004 0.2104 0.7887
Al3 0.8495 0.3783 0.9227
Al4 0.6736 0.1840 0.4687
Al5 0.1505 0.6217 0.0773
Al6 0.0000 0.0000 0.0000
Al7 0.4996 0.7896 0.2112
Au1 0.6551 0.4726 0.2171
Au2 0.3449 0.5274 0.7829
Au3 0.8704 0.9042 0.3549
Au4 0.1296 0.0958 0.6451
```

Properties
The calculation puts the energy of formation from the pure elements at -0.67 eV per atom. The calculation puts the magnetization at 0.00 μB/f.u. As for the space-group type: C2/m.

---

# 7
Here is an optimized crystal structure of LaAl2Au from the Alexandria database. Energies are from PBE.

```
data_LaAl2Au
_cell_length_a 4.3549
_cell_length_b 4.3549
_cell_length_c 6.1108
_cell_angle_alpha 69.13
_cell_angle_beta 69.13
_cell_angle_gamma 59.98
_space_group_name_H-M_alt 'P 1'
_space_group_IT_number 1
_space_group_name_Hall 'P 1'
loop_
_atom_site_label
_atom_site_fract_x
_atom_site_fract_y
_atom_site_fract_z
Au1 0.7500 0.7500 0.7500
Al1 0.0398 0.0398 0.8807
Al2 0.4602 0.4602 0.6193
La1 0.2500 0.2500 0.2500
```

Properties
The calculation puts the energy of formation from the pure elements at -0.60 eV per atom. The calculation puts the magnetization at 0.00 μB/f.u. As for the space-group type: R-3m.

---

# 8
Here is an optimized crystal structure of LaAlAu2 from the Alexandria database. Energies are from PBE.

```
data_LaAlAu2
_cell_length_a 5.5445
_cell_length_b 5.5445
_cell_length_c 5.5445
_cell_angle_alpha 137.37
_cell_angle_beta 126.37
_cell_angle_gamma 70.81
_space_group_name_H-M_alt 'P 1'
_space_group_IT_number 1
_space_group_name_Hall 'P 1'
loop_
_atom_site_label
_atom_site_fract_x
_atom_site_fract_y
_atom_site_fract_z
Au1 0.0411 0.0411 0.0000
Au2 0.7579 0.2579 0.5000
Al1 0.2180 0.7180 0.5000
La1 0.4830 0.4830 0.0000
```

Properties
The calculation puts the energy of formation from the pure elements at -0.50 eV per atom. The calculation puts the magnetization at 0.00 μB/f.u. As for the space-group type: Imm2.

---

# 9
Here is an optimized crystal structure of LaAl4Au from the Alexandria database. Energies are from PBE.

```
data_LaAl4Au
_cell_length_a 5.5833
_cell_length_b 5.5833
_cell_length_c 5.5833
_cell_angle_alpha 60.00
_cell_angle_beta 60.00
_cell_angle_gamma 60.00
_space_group_name_H-M_alt 'P 1'
_space_group_IT_number 1
_space_group_name_Hall 'P 1'
loop_
_atom_site_label
_atom_site_fract_x
_atom_site_fract_y
_atom_site_fract_z
La1 0.0000 0.0000 0.0000
Al1 0.8785 0.3738 0.3738
Al2 0.3738 0.3738 0.8785
Al3 0.3738 0.8785 0.3738
Al4 0.3738 0.3738 0.3738
Au1 0.7500 0.7500 0.7500
```

Properties
The calculation puts the energy of formation from the pure elements at -0.18 eV per atom. The calculation puts the magnetization at 0.00 μB/f.u. As for the space-group type: F-43m.

---

# 10
Here is an optimized crystal structure of LaAl3Au from the Alexandria database. Energies are from PBE.

```
data_LaAl3Au
_cell_length_a 5.6680
_cell_length_b 5.6680
_cell_length_c 5.6680
_cell_angle_alpha 90.00
_cell_angle_beta 90.00
_cell_angle_gamma 90.00
_space_group_name_H-M_alt 'P 1'
_space_group_IT_number 1
_space_group_name_Hall 'P 1'
loop_
_atom_site_label
_atom_site_fract_x
_atom_site_fract_y
_atom_site_fract_z
Au1 0.5000 0.5000 0.5000
Al1 0.0000 0.5000 0.0000
Al2 0.0000 0.0000 0.5000
Al3 0.5000 0.0000 0.0000
La1 0.0000 0.0000 0.0000
```

Properties
The calculation puts the energy of formation from the pure elements at 1.39 eV per atom. The calculation puts the magnetization at 0.00 μB/f.u. The value obtained for the energy above the most stable polymorph in this dataset is 2049.8 meV/atom. As for the space-group type: Pm-3m.